CaLaTe2 (PBEsol, optimized geometry); final energy = -20.93 eV per cell; ΔE_f (raw) = -1598.7 meV per atom; crystal system = tetragonal
1.0
-2.7494 -3.4803 -0.6684
3.1974 -2.0713 -2.3673
2.1657 -2.7316 5.3151
Ca Te La
1 2 1
Direct
0.6233 0.6233 0.0000
0.1235 0.1235 0.0000
0.6236 0.6236 0.5000
0.1236 0.1236 0.5000

=====

Cu2IrBr (PBEsol, optimized geometry); final energy = -18.05 eV per cell; ΔE_f (raw) = 578.3 meV per atom; crystal system = tetragonal
1.0
3.0482 0.0000 0.0000
0.0000 3.0482 0.0000
0.0000 0.0000 6.3150
Br Cu Ir
1 2 1
Direct
0.5000 0.5000 0.7602
0.0000 0.0000 0.0409
0.5000 0.5000 0.2452
0.0000 0.0000 0.4537

=====

Taking the records one at a time from the top gives energy above the most stable polymorph in this dataset values of 0.00, 0.00 eV per formula unit.